DFT (PBE) results for a geometry-optimized LiY2TcH structure.

The structure in POSCAR format:
```
LiY2TcH
1.0
-0.671 -4.492 2.119
-0.048 -2.132 -4.535
3.576 -0.452 0.175
Y H Li Tc
2 1 1 1
Cartesian
-0.024 -1.066 -2.268
-0.335 -2.246 1.059
0.000 0.000 0.000
1.429 -3.538 -1.121
1.788 -0.226 0.087
```

Calculated values
* VASP energy: -29.150 eV/f.u.
* mass density: 5.2 Mg/m³
* DOS(E_F): 3.6 states/eV/f.u.